No. 1
Al2ReAu | PBE | optimized geometry

Unit cell a=8.7571 b=8.7571 c=8.7571 alpha=19.11 beta=19.11 gamma=19.11
Sites, in units of the cell vectors:
Al (0.2460, 0.2460, 0.2460)
Al (0.7540, 0.7540, 0.7540)
Re (0.5000, 0.5000, 0.5000)
Au (0.0000, 0.0000, 0.0000)

**Excess energy over the best structure of this formula in the dataset**: 52 kJ/mol of formula units
**E**: -0.4355 Ry per atom
**Total magnetization**: 0.00 μB per formula unit
**ΔE_f**: -0.123 eV/atom
**Fermi-level density of states**: 0.748 states/eV/atom

=====

No. 2
AlRe2Au | PBE | optimized geometry

Unit cell a=9.2937 b=9.2937 c=9.2937 alpha=17.32 beta=17.32 gamma=17.32
Sites, in units of the cell vectors:
Al (0.0000, 0.0000, 0.0000)
Re (0.2541, 0.2541, 0.2541)
Re (0.7459, 0.7459, 0.7459)
Au (0.5000, 0.5000, 0.5000)

**E**: -0.5702 Ry per atom
**Total magnetization**: 0.00 μB per formula unit
**ΔE_f**: 0.222 eV/atom
**Fermi-level density of states**: 1.127 states/eV/atom

=====

No. 3
AlReAu2 | PBE | optimized geometry

Unit cell a=2.7898 b=4.0586 c=5.7496 alpha=90.00 beta=90.00 gamma=90.00
Sites, in units of the cell vectors:
Al (0.0000, 0.0000, 0.0000)
Re (0.0000, 0.0000, 0.5000)
Au (0.5000, 0.5000, 0.2478)
Au (0.5000, 0.5000, 0.7522)

**E**: -0.3972 Ry per atom
**Total magnetization**: 0.00 μB per formula unit
**ΔE_f**: 0.283 eV/atom
**Fermi-level density of states**: 0.828 states/eV/atom

=====

No. 4
AlRe2Au | PBE | optimized geometry

Unit cell a=2.8552 b=4.1106 c=5.3500 alpha=90.00 beta=90.00 gamma=90.00
Sites, in units of the cell vectors:
Al (0.0000, 0.0000, 0.0000)
Re (0.5000, 0.5000, 0.2233)
Re (0.5000, 0.5000, 0.7767)
Au (0.0000, 0.0000, 0.5000)

**E**: -0.5667 Ry per atom
**Total magnetization**: 0.00 μB per formula unit
**ΔE_f**: 0.269 eV/atom
**Fermi-level density of states**: 0.940 states/eV/atom

=====

No. 5
Al2ReAu | PBE | optimized geometry

Unit cell a=5.6429 b=5.6429 c=5.6429 alpha=104.79 beta=104.79 gamma=119.31
Sites, in units of the cell vectors:
Al (0.1186, 0.1250, 0.4936)
Al (0.3750, 0.8814, 0.0064)
Al (0.6314, 0.6250, 0.5064)
Al (0.8750, 0.3686, 0.9936)
Re (0.2500, 0.7500, 0.5000)
Re (0.5000, 0.5000, 0.0000)
Au (0.0000, 0.0000, 0.0000)
Au (0.7500, 0.2500, 0.5000)

**Excess energy over the best structure of this formula in the dataset**: 231 kJ/mol of formula units
**E**: -0.4012 Ry per atom
**Total magnetization**: 0.00 μB per formula unit
**ΔE_f**: 0.343 eV/atom
**Fermi-level density of states**: 0.098 states/eV/atom

=====

No. 6
AlReAu3 | PBE | optimized geometry

Unit cell a=5.0682 b=5.0682 c=5.0682 alpha=90.00 beta=90.00 gamma=90.00
Sites, in units of the cell vectors:
Al (0.0000, 0.0000, 0.0000)
Re (0.5000, 0.5000, 0.5000)
Au (0.0000, 0.5000, 0.5000)
Au (0.5000, 0.0000, 0.5000)
Au (0.5000, 0.5000, 0.0000)

**Excess energy over the best structure of this formula in the dataset**: 16 kJ/mol of formula units
**E**: -0.2927 Ry per atom
**Total magnetization**: 0.27 μB per formula unit
**ΔE_f**: 1.222 eV/atom
**Fermi-level density of states**: 1.071 states/eV/atom

=====

No. 7
AlReAu2 | PBE | optimized geometry

Unit cell a=3.7645 b=4.0913 c=4.2215 alpha=90.00 beta=90.00 gamma=90.00
Sites, in units of the cell vectors:
Al (0.0000, 0.0000, 0.0000)
Re (0.5000, 0.5000, 0.0000)
Au (0.0000, 0.5000, 0.5000)
Au (0.5000, 0.0000, 0.5000)

**E**: -0.4024 Ry per atom
**Total magnetization**: 0.00 μB per formula unit
**ΔE_f**: 0.211 eV/atom
**Fermi-level density of states**: 0.764 states/eV/atom

=====

No. 8
AlRe2Au | PBE | optimized geometry

Unit cell a=9.0857 b=9.0857 c=9.0857 alpha=17.98 beta=17.98 gamma=17.98
Sites, in units of the cell vectors:
Al (0.0000, 0.0000, 0.0000)
Re (0.4908, 0.4908, 0.4908)
Re (0.7464, 0.7464, 0.7464)
Au (0.2502, 0.2502, 0.2502)

**E**: -0.5890 Ry per atom
**Total magnetization**: 0.00 μB per formula unit
**ΔE_f**: -0.034 eV/atom
**Fermi-level density of states**: 0.596 states/eV/atom